A relaxed structure of GaGeWO2, computed with PBE with a Hubbard U.

Cell: 3.882 5.565 3.882 Å, 90.00 90.00 90.00°
Each line ends with the local moment (μB).
Sites, in units of the cell vectors:
O1 0.000 0.000 0.500  -0.05
O2 0.500 0.000 0.000  -0.12
Ge1 0.000 0.500 0.000  -0.12
Ga1 0.500 0.500 0.500  -0.02
W1 0.000 0.000 0.000  0.94

Results
VASP energy, eV per atom: -5.792